! BaCuRu | Alexandria via LeMat-Bulk | GGA-PBE | relaxed; values from VASP
&SYSTEM
  ibrav = 0, nat = 3, ntyp = 3
/
ATOMIC_SPECIES
Ru 101.07 Ru.upf
Cu 63.55 Cu.upf
Ba 137.33 Ba.upf
ATOMIC_POSITIONS angstrom
Ru 0.697 -3.367 -0.084
Cu -0.850 -2.755 -1.876
Ba 0.000 0.000 0.000
CELL_PARAMETERS angstrom
-1.119 -0.130 -4.081
3.520 -1.966 1.293
-2.553 -4.026 0.828
! **Total magnetization**: 0.289 μB per atom
! **ΔH_f (0 K)**: 0.4726 eV per atom

=====

! BaCuRu | Alexandria via LeMat-Bulk | GGA-PBE | relaxed; values from VASP
&SYSTEM
  ibrav = 0, nat = 3, ntyp = 3
/
ATOMIC_SPECIES
Ru 101.07 Ru.upf
Ba 137.33 Ba.upf
Cu 63.55 Cu.upf
ATOMIC_POSITIONS angstrom
Ru 7.028 4.058 2.869
Ba 0.000 0.000 0.000
Cu 4.686 2.705 1.913
CELL_PARAMETERS angstrom
4.686 0.000 0.000
2.343 4.058 0.000
2.343 1.353 3.826
! **Total magnetization**: 0.226 μB per atom
! **ΔH_f (0 K)**: 0.9019 eV per atom

=====

! Ba2CuRu | Alexandria via LeMat-Bulk | GGA-PBE | relaxed; values from VASP
&SYSTEM
  ibrav = 0, nat = 4, ntyp = 3
/
ATOMIC_SPECIES
Cu 63.55 Cu.upf
Ru 101.07 Ru.upf
Ba 137.33 Ba.upf
ATOMIC_POSITIONS angstrom
Cu 0.475 0.242 5.350
Ru -1.843 -0.674 6.259
Ba 0.732 0.373 8.235
Ba -2.092 -0.801 3.464
CELL_PARAMETERS angstrom
-3.330 1.441 0.230
-1.424 -3.334 0.278
0.810 0.413 9.120
! **Total magnetization**: 0.000 μB per atom
! **ΔH_f (0 K)**: 0.3958 eV per atom

=====

! Ba2CuRu | Alexandria via LeMat-Bulk | GGA-PBE | relaxed; values from VASP
&SYSTEM
  ibrav = 0, nat = 4, ntyp = 3
/
ATOMIC_SPECIES
Ba 137.33 Ba.upf
Ru 101.07 Ru.upf
Cu 63.55 Cu.upf
ATOMIC_POSITIONS angstrom
Ba 14.617 4.355 -0.169
Ru 13.323 3.970 2.637
Ba 4.045 1.205 1.012
Cu 6.860 2.044 2.444
CELL_PARAMETERS angstrom
7.995 0.099 -0.106
6.745 4.294 -0.106
1.329 0.396 4.302
! **Total magnetization**: 0.000 μB per atom
! **ΔH_f (0 K)**: 0.3090 eV per atom

=====

! Ba4CuRu | Alexandria via LeMat-Bulk | GGA-PBE | relaxed; values from VASP
&SYSTEM
  ibrav = 0, nat = 6, ntyp = 3
/
ATOMIC_SPECIES
Ba 137.33 Ba.upf
Cu 63.55 Cu.upf
Ru 101.07 Ru.upf
ATOMIC_POSITIONS angstrom
Ba 3.652 3.652 3.652
Ba 6.102 6.102 3.652
Cu 7.316 7.316 7.316
Ba 6.102 3.652 6.102
Ba 3.652 6.102 6.102
Ru 0.000 0.000 0.000
CELL_PARAMETERS angstrom
0.000 4.877 4.877
4.877 0.000 4.877
4.877 4.877 0.000
! **Total magnetization**: 0.047 μB per atom
! **ΔH_f (0 K)**: 1.1749 eV per atom

=====

! BaCu4Ru | Alexandria via LeMat-Bulk | GGA-PBE | relaxed; values from VASP
&SYSTEM
  ibrav = 0, nat = 6, ntyp = 3
/
ATOMIC_SPECIES
Cu 63.55 Cu.upf
Ba 137.33 Ba.upf
Ru 101.07 Ru.upf
ATOMIC_POSITIONS angstrom
Cu 4.566 4.566 2.770
Cu 2.770 4.566 4.566
Ba 0.000 0.000 0.000
Ru 5.502 5.502 5.502
Cu 4.566 2.770 4.566
Cu 2.770 2.770 2.770
CELL_PARAMETERS angstrom
0.000 3.668 3.668
3.668 0.000 3.668
3.668 3.668 0.000
! **Total magnetization**: 0.000 μB per atom
! **ΔH_f (0 K)**: 0.4179 eV per atom

=====

! Ba2CuRu | Alexandria via LeMat-Bulk | GGA-PBE | relaxed; values from VASP
&SYSTEM
  ibrav = 0, nat = 4, ntyp = 3
/
ATOMIC_SPECIES
Cu 63.55 Cu.upf
Ba 137.33 Ba.upf
Ru 101.07 Ru.upf
ATOMIC_POSITIONS angstrom
Cu -0.528 -3.146 3.979
Ba 0.714 0.013 3.373
Ba 0.000 0.000 0.000
Ru -2.355 -0.667 2.428
CELL_PARAMETERS angstrom
-3.596 -3.826 3.035
2.541 -2.465 4.924
-0.586 5.638 -2.157
! **Total magnetization**: 0.176 μB per atom
! **ΔH_f (0 K)**: 0.6334 eV per atom

=====

! Ba2CuRu | Alexandria via LeMat-Bulk | GGA-PBE | relaxed; values from VASP
&SYSTEM
  ibrav = 0, nat = 4, ntyp = 3
/
ATOMIC_SPECIES
Ru 101.07 Ru.upf
Cu 63.55 Cu.upf
Ba 137.33 Ba.upf
ATOMIC_POSITIONS angstrom
Ru -2.235 -5.940 1.033
Cu -2.269 -4.816 -1.136
Ba -3.206 -7.865 -1.758
Ba -1.204 -3.052 1.650
CELL_PARAMETERS angstrom
-0.857 -0.632 4.390
-4.060 -2.330 -1.128
0.837 -6.086 -0.712
! **Total magnetization**: 0.000 μB per atom
! **ΔH_f (0 K)**: 0.2417 eV per atom

=====

What are the Fermi-level density of states values for these records? In order: 4.12 4.65 4.43 3.85 8.07 2.34 4.18 3.34 states/eV per cell.